The following is a PBE calculation of an optimized crystal structure of Hf2ScNb, from Alexandria via LeMat-Bulk.

Cell lengths 4.9286, 4.9286, 4.9286 Å; angles 60.00, 60.00, 60.00 degrees
Last column: nearest neighbours and their distance in Å.
Sites, in units of the cell vectors:
Sc: 0.0000 0.0000 0.0000  8 Hf 3.02
Nb: 0.5000 0.5000 0.5000  8 Hf 3.02
Hf: 0.2500 0.2500 0.2500  4 Nb 3.02, 4 Sc 3.02
Hf: 0.7500 0.7500 0.7500  4 Nb 3.02, 4 Sc 3.02

Values from the calculation:
energy of formation from the pure elements = 0.119 eV/atom
calculated density = 9.71 g cm⁻³
total energy = -35.8 eV per cell
spin magnetization = 0.00 μB/f.u.
density of states at the Fermi level = 6.59 states/eV/cell
energy above the lowest structure with this stoichiometry = 2.4 kJ per mole of atoms



The following is a PBE calculation of an optimized crystal structure of BaZnP2, from Alexandria via LeMat-Bulk.

Cell lengths 3.7775, 3.7775, 6.5338 Å; angles 90.00, 90.00, 101.43 degrees
Last column: nearest neighbours and their distance in Å.
Sites, in units of the cell vectors:
Ba: 0.5000 0.5000 0.7500  4 P 3.22, 2 Zn 3.27
P: 0.0000 0.0000 0.0810  1 P 2.21
P: 0.0000 0.0000 0.4190  1 P 2.21
Zn: 0.5000 0.5000 0.2500  4 P 2.63

Values from the calculation:
energy of formation from the pure elements = -0.206 eV/atom
calculated density = 4.81 g cm⁻³
total energy = -14.8 eV per cell
spin magnetization = 0.00 μB/f.u.
density of states at the Fermi level = 2.89 states/eV/cell